*one*
Material: ZnCr2Se
Method: DFT, PBE
State: relaxed

The structure in POSCAR format:
```
ZnCr2Se
1.0
1.468 0.847 8.130
-1.468 0.847 8.130
0.000 -1.695 8.130
Zn Cr Se
1 2 1
Cartesian
0.000 0.000 0.000
0.000 0.000 6.058
0.000 0.000 12.621
0.000 0.000 18.918
```

Values from the calculation:
Crystal system: trigonal
Total moment in μB/atom: 0.0000

***

*two*
Material: ZnCr2Se
Method: DFT, PBE
State: relaxed

The structure in POSCAR format:
```
ZnCr2Se
1.0
0.000 3.159 3.159
3.159 0.000 3.159
3.159 3.159 0.000
Zn Cr Se
1 2 1
Cartesian
0.000 0.000 0.000
3.159 3.159 3.159
4.738 4.738 4.738
1.579 1.579 1.579
```

Values from the calculation:
Crystal system: cubic
Total moment in μB/atom: 0.0539

***

*three*
Material: ZnCr2Se
Method: DFT, PBE
State: relaxed

The structure in POSCAR format:
```
ZnCr2Se
1.0
1.500 -2.239 0.000
1.500 2.239 0.000
0.000 0.000 9.392
Zn Cr Se
1 2 1
Cartesian
0.000 0.000 0.000
0.000 0.000 5.533
1.500 0.000 7.257
1.500 0.000 3.480
```

Values from the calculation:
Crystal system: orthorhombic
Total moment in μB/atom: 0.0001

***

What should be chosen as the most stable of them? Choose *one*.

***

*one*
Material: ZnCr2Se
Method: DFT, PBE
State: relaxed

The structure in POSCAR format:
```
ZnCr2Se
1.0
4.835 -1.632 0.000
4.835 1.632 0.000
-1.061 0.000 4.098
Zn Cr Se
1 2 1
Cartesian
0.000 0.000 0.000
1.526 0.000 3.689
4.247 0.000 2.052
6.903 0.000 1.724
```

Values from the calculation:
Crystal system: monoclinic
Total moment in μB/atom: 1.7016

***

*two*
Material: ZnCr2Se
Method: DFT, PBE
State: relaxed

The structure in POSCAR format:
```
ZnCr2Se
1.0
-2.161 2.161 8.397
2.161 -2.161 8.397
2.161 2.161 -8.397
Zn Cr Se
2 4 2
Cartesian
0.000 0.000 0.000
0.000 2.161 4.198
1.080 -1.010 6.298
1.151 1.080 2.099
1.080 3.170 -2.099
1.010 1.080 10.496
2.161 0.000 4.198
0.000 0.000 8.397
```

Values from the calculation:
Crystal system: tetragonal
Total moment in μB/atom: 1.9992

***

What should be chosen as the most stable of them? Choose *one*.

***

*one*
Material: ZnCrSe3
Method: DFT, PBE
State: relaxed

The structure in POSCAR format:
```
ZnCrSe3
1.0
4.767 0.000 0.000
0.000 4.767 0.000
0.000 0.000 4.767
Zn Cr Se
1 1 3
Cartesian
0.000 0.000 0.000
2.383 2.383 2.383
0.000 2.383 2.383
2.383 0.000 2.383
2.383 2.383 0.000
```

Values from the calculation:
Crystal system: cubic
Total moment in μB/atom: 0.0000

***

*two*
Material: ZnCrSe3
Method: DFT, PBE
State: relaxed

The structure in POSCAR format:
```
ZnCrSe3
1.0
4.850 0.000 0.000
0.000 4.850 0.000
0.000 0.000 4.850
Zn Cr Se
1 1 3
Cartesian
0.000 0.000 0.000
2.425 2.425 2.425
0.000 0.000 2.425
0.000 2.425 0.000
2.425 0.000 0.000
```

Values from the calculation:
Crystal system: cubic
Total moment in μB/atom: 0.1290

***

What should be chosen as the most stable of them? Choose *one*.

***

*one*
Material: ZnCrSe
Method: DFT, PBE
State: relaxed

The structure in POSCAR format:
```
ZnCrSe
1.0
-1.509 1.509 5.736
1.509 -1.509 5.736
1.509 1.509 -5.736
Zn Cr Se
1 1 1
Cartesian
0.000 0.000 0.000
0.000 0.000 7.384
0.000 0.000 2.902
```

Values from the calculation:
Crystal system: tetragonal
Total moment in μB/atom: 0.4939

***

*two*
Material: ZnCrSe
Method: DFT, PBE
State: relaxed

The structure in POSCAR format:
```
ZnCrSe
1.0
0.000 3.165 3.165
3.165 0.000 3.165
3.165 3.165 0.000
Zn Cr Se
1 1 1
Cartesian
0.000 0.000 0.000
3.165 3.165 3.165
1.583 1.583 1.583
```

Values from the calculation:
Crystal system: cubic
Total moment in μB/atom: 1.4898

***

*three*
Material: ZnCrSe
Method: DFT, PBE
State: relaxed

The structure in POSCAR format:
```
ZnCrSe
1.0
3.596 0.000 0.000
-1.798 3.114 0.000
0.000 0.000 5.238
Zn Cr Se
1 1 1
Cartesian
0.000 0.000 0.000
1.798 1.038 1.906
0.000 2.076 3.367
```

Values from the calculation:
Crystal system: trigonal
Total moment in μB/atom: 1.3321

***

*four*
Material: ZnCrSe
Method: DFT, PBE
State: relaxed

The structure in POSCAR format:
```
ZnCrSe
1.0
3.038 0.000 0.000
-1.519 2.631 0.000
0.000 0.000 6.291
Zn Cr Se
1 1 1
Cartesian
0.000 0.000 0.000
1.519 0.877 1.946
0.000 1.754 3.520
```

Values from the calculation:
Crystal system: trigonal
Total moment in μB/atom: 0.1102

***

What should be chosen as the most stable of them? Choose *four*.